PBE SmPAuO, relaxed; SG = P4/nmm; DFT total energy = -44.9 eV per cell; polymorph energy (0 for the lowest one) = 548 meV/atom
1.0
5.858 0.000 0.000
0.000 5.858 0.000
0.000 0.000 4.605
O Sm P Au
2 2 2 2
direct
0.000 0.000 0.000
0.500 0.500 0.000
0.000 0.000 0.500
0.500 0.500 0.500
0.500 0.000 0.497
0.000 0.500 0.503
0.000 0.500 0.003
0.500 0.000 0.997